Entry 1:
{"formula": "Ca3GeBi", "functional": "PBE", "state": "relaxed", "e_above_lowest_polymorph_ev_per_atom": 0.1514, "space_group": "Pm-3m, No. 221", "dos_ef_per_ev_fu": 3.44, "formation_energy_ev_per_atom": -0.477, "lattice_angstrom": [[5.585, 0.000, 0.000], [0.000, 5.585, 0.000], [0.000, 0.000, 5.585]], "species": ["Ca", "Ca", "Ca", "Bi", "Ge"], "frac_coords": [[0.500, 0.000, 0.000], [0.000, 0.000, 0.500], [0.000, 0.500, 0.000], [0.500, 0.500, 0.500], [0.000, 0.000, 0.000]]}

Entry 2:
{"formula": "GaSbAs2F", "functional": "PBE", "state": "relaxed", "e_form_raw_ev_per_atom": 0.51, "space_group": "P4/mmm, No. 123", "dos_ef_per_ev_fu": 5.18, "lattice_angstrom": [[-0.422, -1.642, -4.920], [2.626, -5.309, 1.547], [-4.682, -2.004, 1.071]], "species": ["As", "As", "Sb", "F", "Ga"], "frac_coords": [[0.000, 0.000, 0.500], [0.500, 0.000, 0.000], [0.000, 0.000, 0.000], [0.500, 0.500, 0.500], [0.000, 0.500, 0.000]]}

Entry 3:
{"formula": "Dy2CBr3", "functional": "PBE", "state": "relaxed", "e_form_raw_ev_per_atom": -1.33, "space_group": "C2/m, No. 12", "dos_ef_per_ev_fu": 2.26, "lattice_angstrom": [[-0.545, -2.364, -3.035], [7.779, -4.740, -0.192], [-3.868, -9.033, 5.244]], "species": ["Dy", "Dy", "Dy", "Dy", "C", "C", "Br", "Br", "Br", "Br", "Br", "Br"], "frac_coords": [[0.649, 0.252, 0.450], [0.057, 0.579, 0.308], [0.351, 0.748, 0.550], [0.943, 0.421, 0.692], [0.511, 0.538, 0.441], [0.489, 0.462, 0.559], [0.405, 0.319, 0.870], [0.595, 0.681, 0.130], [0.762, 0.730, 0.746], [0.142, 0.099, 0.617], [0.858, 0.901, 0.383], [0.238, 0.270, 0.254]]}

Entry 4:
{"formula": "Dy2Y12Ho5", "functional": "PBE", "state": "relaxed", "e_above_lowest_polymorph_ev_per_atom": 0.0000, "space_group": "P-1, No. 2", "dos_ef_per_ev_fu": 29.18, "formation_energy_ev_per_atom": 0.025, "lattice_angstrom": [[5.887, 1.250, -1.297], [-1.284, 8.125, -7.654], [-1.372, -3.055, 15.129]], "species": ["Y", "Y", "Y", "Y", "Y", "Y", "Y", "Y", "Y", "Y", "Y", "Y", "Ho", "Ho", "Ho", "Ho", "Ho", "Dy", "Dy"], "frac_coords": [[0.685, 0.527, 0.132], [0.790, 0.685, 0.921], [0.053, 0.578, 0.395], [0.526, 0.790, 0.448], [0.474, 0.210, 0.552], [0.947, 0.422, 0.605], [0.210, 0.315, 0.079], [0.106, 0.158, 0.289], [0.632, 0.947, 0.237], [0.894, 0.842, 0.711], [0.315, 0.473, 0.868], [0.368, 0.053, 0.763], [0.843, 0.264, 0.816], [0.421, 0.632, 0.658], [0.000, 0.000, 0.500], [0.579, 0.368, 0.342], [0.157, 0.736, 0.184], [0.264, 0.896, 0.974], [0.736, 0.104, 0.026]]}

Entry 5:
{"formula": "DyZn2Cd2Au2", "functional": "PBE", "state": "relaxed", "space_group": "R-3m, No. 166", "dos_ef_per_ev_fu": 3.02, "formation_energy_ev_per_atom": -0.400, "lattice_angstrom": [[-1.623, -4.242, -0.580], [2.777, -3.604, 0.517], [-1.477, -2.951, 7.642]], "species": ["Dy", "Au", "Au", "Zn", "Zn", "Cd", "Cd"], "frac_coords": [[0.000, 0.000, 0.000], [0.738, 0.738, 0.785], [0.262, 0.262, 0.215], [0.598, 0.598, 0.206], [0.402, 0.402, 0.794], [0.865, 0.865, 0.406], [0.135, 0.135, 0.594]]}

Entry 6:
{"formula": "Sr2Cu3Sb4Rh", "functional": "PBE", "state": "relaxed", "e_form_raw_ev_per_atom": -0.48, "space_group": "P-4m2, No. 115", "dos_ef_per_ev_fu": 4.06, "lattice_angstrom": [[4.667, 0.000, 0.000], [0.000, 4.667, 0.000], [0.000, 0.000, 10.530]], "species": ["Sb", "Sb", "Sb", "Sb", "Cu", "Cu", "Cu", "Sr", "Sr", "Rh"], "frac_coords": [[0.500, 0.000, 0.623], [0.000, 0.500, 0.377], [0.000, 0.000, 0.000], [0.500, 0.500, 0.000], [0.500, 0.000, 0.870], [0.000, 0.000, 0.500], [0.000, 0.500, 0.130], [0.500, 0.000, 0.260], [0.000, 0.500, 0.740], [0.500, 0.500, 0.500]]}

Entry 7:
{"formula": "LiAg4", "functional": "PBE", "state": "relaxed", "e_above_lowest_polymorph_ev_per_atom": 0.0193, "space_group": "P-1, No. 2", "dos_ef_per_ev_fu": 1.13, "formation_energy_ev_per_atom": -0.086, "lattice_angstrom": [[2.790, 0.310, -0.739], [0.383, 4.531, -2.127], [-0.848, -0.930, 7.535]], "species": ["Ag", "Ag", "Ag", "Ag", "Li"], "frac_coords": [[0.604, 0.900, 0.804], [0.202, 0.300, 0.604], [0.396, 0.100, 0.196], [0.798, 0.700, 0.396], [0.000, 0.500, 0.000]]}

Entry 8:
{"formula": "NaYBAs2", "functional": "PBE", "state": "relaxed", "space_group": "P4/mmm, No. 123", "dos_ef_per_ev_fu": 2.43, "formation_energy_ev_per_atom": 0.223, "lattice_angstrom": [[-2.958, 3.211, -1.695], [-3.195, -1.563, 2.616], [1.302, 2.979, 3.370]], "species": ["As", "As", "B", "Y", "Na"], "frac_coords": [[0.500, 0.000, 0.000], [0.000, 0.000, 0.500], [0.000, 0.000, 0.000], [0.500, 0.500, 0.500], [0.000, 0.500, 0.000]]}

Entry 9:
{"formula": "NaLiCeSe3", "functional": "PBE", "state": "relaxed", "e_form_raw_ev_per_atom": -1.42, "space_group": "P2_1/m, No. 11", "lattice_angstrom": [[4.273, 0.000, 0.000], [0.000, 10.248, 0.991], [0.000, -1.706, 7.164]], "species": ["Se", "Se", "Se", "Se", "Se", "Se", "Ce", "Ce", "Na", "Na", "Li", "Li"], "frac_coords": [[0.250, 0.494, 0.774], [0.250, 0.177, 0.001], [0.750, 0.506, 0.226], [0.750, 0.169, 0.540], [0.250, 0.831, 0.460], [0.750, 0.823, 0.999], [0.750, 0.321, 0.881], [0.250, 0.679, 0.119], [0.750, 0.678, 0.618], [0.250, 0.322, 0.382], [0.250, 0.058, 0.662], [0.750, 0.942, 0.338]]}

Entry 10:
{"formula": "SmHfFe4", "functional": "PBE", "state": "relaxed", "space_group": "F-43m, No. 216", "dos_ef_per_ev_fu": 4.40, "formation_energy_ev_per_atom": -0.101, "lattice_angstrom": [[5.072, 0.000, 0.000], [2.536, 4.392, 0.000], [2.536, 1.464, 4.141]], "species": ["Fe", "Fe", "Fe", "Fe", "Sm", "Hf"], "frac_coords": [[0.123, 0.626, 0.626], [0.626, 0.626, 0.626], [0.626, 0.626, 0.123], [0.626, 0.123, 0.626], [0.250, 0.250, 0.250], [0.000, 0.000, 0.000]]}

Entry 11:
{"formula": "AlCu2S3", "functional": "PBE", "state": "relaxed", "e_form_raw_ev_per_atom": -0.61, "space_group": "Imm2, No. 44", "dos_ef_per_ev_fu": 3.39, "lattice_angstrom": [[3.675, 0.000, 0.000], [0.000, 5.383, 0.000], [-1.838, -2.691, 5.610]], "species": ["S", "S", "S", "Cu", "Cu", "Al"], "frac_coords": [[0.667, 0.663, 0.334], [0.000, 0.003, 0.000], [0.333, 0.329, 0.666], [0.169, 0.913, 0.339], [0.831, 0.574, 0.661], [0.500, 0.261, 0.000]]}

Entry 12:
{"formula": "Sm3Mg4Cd", "functional": "PBE", "state": "relaxed", "space_group": "P4/mmm, No. 123", "dos_ef_per_ev_fu": 8.17, "formation_energy_ev_per_atom": -0.092, "lattice_angstrom": [[5.059, 0.000, 0.000], [0.000, 8.350, 0.000], [0.000, 0.000, 10.118]], "species": ["Sm", "Sm", "Sm", "Sm", "Sm", "Sm", "Mg", "Mg", "Mg", "Mg", "Mg", "Mg", "Mg", "Mg", "Cd", "Cd"], "frac_coords": [[0.000, 0.000, 0.000], [0.500, 0.000, 0.250], [0.500, 0.500, 0.250], [0.500, 0.000, 0.750], [0.500, 0.500, 0.750], [0.000, 0.000, 0.500], [0.000, 0.266, 0.750], [0.000, 0.266, 0.250], [0.500, 0.734, 0.000], [0.000, 0.734, 0.250], [0.500, 0.266, 0.000], [0.000, 0.734, 0.750], [0.500, 0.734, 0.500], [0.500, 0.266, 0.500], [0.000, 0.500, 0.000], [0.000, 0.500, 0.500]]}